(1)
DFT (PBE-GGA) results for crystalline DyHoCdPt at its relaxed geometry.

```
data_DyHoCdPt
_cell_length_a 5.0822
_cell_length_b 5.0822
_cell_length_c 5.0822
_cell_angle_alpha 60.00
_cell_angle_beta 60.00
_cell_angle_gamma 60.00
_symmetry_space_group_name_H-M 'P 1'
_symmetry_Int_Tables_number 1
loop_
_symmetry_equiv_pos_as_xyz
'x,y,z'
loop_
_atom_site_label
_atom_site_type_symbol
_atom_site_fract_x
_atom_site_fract_y
_atom_site_fract_z
Dy1 Dy 0.5000 0.5000 0.5000
Ho1 Ho 0.0000 0.0000 0.0000
Cd1 Cd 0.2500 0.2500 0.2500
Pt1 Pt 0.7500 0.7500 0.7500
```

E ... -4.7658 eV per atom
Formation enthalpy at 0 K ... -0.73 eV/atom

=====

(2)
DFT (PBE-GGA) results for crystalline Dy2HoCdRh4 at its relaxed geometry.

```
data_Dy2HoCdRh4
_cell_length_a 4.7645
_cell_length_b 4.7645
_cell_length_c 8.2230
_cell_angle_alpha 73.16
_cell_angle_beta 73.16
_cell_angle_gamma 60.00
_symmetry_space_group_name_H-M 'P 1'
_symmetry_Int_Tables_number 1
loop_
_symmetry_equiv_pos_as_xyz
'x,y,z'
loop_
_atom_site_label
_atom_site_type_symbol
_atom_site_fract_x
_atom_site_fract_y
_atom_site_fract_z
Cd1 Cd 0.5000 0.5000 0.5000
Rh1 Rh 0.3744 0.3744 0.8767
Dy1 Dy 0.2439 0.2439 0.2683
Ho1 Ho 0.0000 0.0000 0.0000
Rh2 Rh 0.6256 0.6256 0.1233
Rh3 Rh 0.8781 0.8781 0.3658
Rh4 Rh 0.1219 0.1219 0.6342
Dy2 Dy 0.7561 0.7561 0.7317
```

E ... -6.2747 eV per atom
Formation enthalpy at 0 K ... -0.76 eV/atom

=====

(3)
DFT (PBE-GGA) results for crystalline DyHoCdSi at its relaxed geometry.

```
data_DyHoCdSi
_cell_length_a 5.0865
_cell_length_b 5.0865
_cell_length_c 5.0865
_cell_angle_alpha 60.00
_cell_angle_beta 60.00
_cell_angle_gamma 60.00
_symmetry_space_group_name_H-M 'P 1'
_symmetry_Int_Tables_number 1
loop_
_symmetry_equiv_pos_as_xyz
'x,y,z'
loop_
_atom_site_label
_atom_site_type_symbol
_atom_site_fract_x
_atom_site_fract_y
_atom_site_fract_z
Ho1 Ho 0.0000 0.0000 0.0000
Dy1 Dy 0.5000 0.5000 0.5000
Si1 Si 0.2500 0.2500 0.2500
Cd1 Cd 0.7500 0.7500 0.7500
```

E ... -4.2604 eV per atom
E_form (uncorrected) ... -0.38 eV/atom

=====

(4)
DFT (PBE-GGA) results for crystalline SmDyHoCd at its relaxed geometry.

```
data_SmDyHoCd
_cell_length_a 5.4674
_cell_length_b 5.4674
_cell_length_c 5.4674
_cell_angle_alpha 60.00
_cell_angle_beta 60.00
_cell_angle_gamma 60.00
_symmetry_space_group_name_H-M 'P 1'
_symmetry_Int_Tables_number 1
loop_
_symmetry_equiv_pos_as_xyz
'x,y,z'
loop_
_atom_site_label
_atom_site_type_symbol
_atom_site_fract_x
_atom_site_fract_y
_atom_site_fract_z
Cd1 Cd 0.7500 0.7500 0.7500
Ho1 Ho 0.2500 0.2500 0.2500
Dy1 Dy 0.5000 0.5000 0.5000
Sm1 Sm 0.0000 0.0000 0.0000
```

E ... -3.7296 eV per atom
Formation enthalpy at 0 K ... -0.03 eV/atom

=====

(5)
DFT (PBE-GGA) results for crystalline Sm2Dy2HoCd at its relaxed geometry.

```
data_Sm2Dy2HoCd
_cell_length_a 5.5955
_cell_length_b 10.0435
_cell_length_c 6.5459
_cell_angle_alpha 90.00
_cell_angle_beta 90.00
_cell_angle_gamma 90.00
_symmetry_space_group_name_H-M 'P 1'
_symmetry_Int_Tables_number 1
loop_
_symmetry_equiv_pos_as_xyz
'x,y,z'
loop_
_atom_site_label
_atom_site_type_symbol
_atom_site_fract_x
_atom_site_fract_y
_atom_site_fract_z
Sm1 Sm 0.5000 0.8675 0.7997
Sm2 Sm 0.5000 0.1325 0.2003
Cd1 Cd 0.0000 0.0000 0.0000
Cd2 Cd 0.5000 0.5000 0.5000
Ho1 Ho 0.0000 0.0000 0.5000
Ho2 Ho 0.5000 0.5000 0.0000
Dy1 Dy 0.5000 0.1996 0.7027
Sm3 Sm 0.0000 0.3675 0.7003
Sm4 Sm 0.0000 0.6325 0.2997
Dy2 Dy 0.5000 0.8004 0.2973
Dy3 Dy 0.0000 0.3004 0.2027
Dy4 Dy 0.0000 0.6996 0.7973
```

E ... -3.9695 eV per atom
Formation enthalpy at 0 K ... 0.05 eV/atom

=====

(6)
DFT (PBE-GGA) results for crystalline SmDyHoCd at its relaxed geometry.

```
data_SmDyHoCd
_cell_length_a 3.6023
_cell_length_b 3.6023
_cell_length_c 9.0409
_cell_angle_alpha 90.00
_cell_angle_beta 90.00
_cell_angle_gamma 90.00
_symmetry_space_group_name_H-M 'P 1'
_symmetry_Int_Tables_number 1
loop_
_symmetry_equiv_pos_as_xyz
'x,y,z'
loop_
_atom_site_label
_atom_site_type_symbol
_atom_site_fract_x
_atom_site_fract_y
_atom_site_fract_z
Cd1 Cd 0.0000 0.0000 0.5700
Sm1 Sm 0.0000 0.0000 0.0719
Dy1 Dy 0.5000 0.5000 0.7951
Ho1 Ho 0.5000 0.5000 0.3476
```

E ... -3.8528 eV per atom
Formation enthalpy at 0 K ... -0.15 eV/atom

=====

(7)
DFT (PBE-GGA) results for crystalline Tb2Dy2HoCd at its relaxed geometry.

```
data_Tb2Dy2HoCd
_cell_length_a 5.4876
_cell_length_b 10.1151
_cell_length_c 6.5204
_cell_angle_alpha 90.00
_cell_angle_beta 90.00
_cell_angle_gamma 90.00
_symmetry_space_group_name_H-M 'P 1'
_symmetry_Int_Tables_number 1
loop_
_symmetry_equiv_pos_as_xyz
'x,y,z'
loop_
_atom_site_label
_atom_site_type_symbol
_atom_site_fract_x
_atom_site_fract_y
_atom_site_fract_z
Cd1 Cd 0.5000 0.5000 0.5000
Tb1 Tb 0.5000 0.8733 0.8001
Tb2 Tb 0.0000 0.3733 0.6999
Dy1 Dy 0.0000 0.6987 0.7951
Dy2 Dy 0.5000 0.1987 0.7049
Cd2 Cd 0.0000 0.0000 0.0000
Dy3 Dy 0.0000 0.3013 0.2049
Tb3 Tb 0.0000 0.6267 0.3001
Ho1 Ho 0.0000 0.0000 0.5000
Ho2 Ho 0.5000 0.5000 0.0000
Dy4 Dy 0.5000 0.8013 0.2951
Tb4 Tb 0.5000 0.1267 0.1999
```

E ... -3.9398 eV per atom
Formation enthalpy at 0 K ... 0.05 eV/atom

=====

(8)
DFT (PBE-GGA) results for crystalline DyHoTlCd at its relaxed geometry.

```
data_DyHoTlCd
_cell_length_a 5.3172
_cell_length_b 5.3172
_cell_length_c 5.3172
_cell_angle_alpha 60.00
_cell_angle_beta 60.00
_cell_angle_gamma 60.00
_symmetry_space_group_name_H-M 'P 1'
_symmetry_Int_Tables_number 1
loop_
_symmetry_equiv_pos_as_xyz
'x,y,z'
loop_
_atom_site_label
_atom_site_type_symbol
_atom_site_fract_x
_atom_site_fract_y
_atom_site_fract_z
Cd1 Cd 0.5000 0.5000 0.5000
Tl1 Tl 0.0000 0.0000 0.0000
Ho1 Ho 0.2500 0.2500 0.2500
Dy1 Dy 0.7500 0.7500 0.7500
```

E ... -3.4486 eV per atom
Formation enthalpy at 0 K ... -0.33 eV/atom

=====

(9)
DFT (PBE-GGA) results for crystalline DyYHoCd at its relaxed geometry.

```
data_DyYHoCd
_cell_length_a 3.5823
_cell_length_b 3.5823
_cell_length_c 9.0432
_cell_angle_alpha 90.00
_cell_angle_beta 90.00
_cell_angle_gamma 90.00
_symmetry_space_group_name_H-M 'P 1'
_symmetry_Int_Tables_number 1
loop_
_symmetry_equiv_pos_as_xyz
'x,y,z'
loop_
_atom_site_label
_atom_site_type_symbol
_atom_site_fract_x
_atom_site_fract_y
_atom_site_fract_z
Dy1 Dy 0.0000 0.0000 0.0735
Ho1 Ho 0.5000 0.5000 0.3439
Y1 Y 0.5000 0.5000 0.7981
Cd1 Cd 0.0000 0.0000 0.5692
```

E ... -4.2899 eV per atom
Formation enthalpy at 0 K ... -0.15 eV/atom

=====

(10)
DFT (PBE-GGA) results for crystalline DyYHoCd at its relaxed geometry.

```
data_DyYHoCd
_cell_length_a 5.4381
_cell_length_b 5.4381
_cell_length_c 5.4381
_cell_angle_alpha 60.00
_cell_angle_beta 60.00
_cell_angle_gamma 60.00
_symmetry_space_group_name_H-M 'P 1'
_symmetry_Int_Tables_number 1
loop_
_symmetry_equiv_pos_as_xyz
'x,y,z'
loop_
_atom_site_label
_atom_site_type_symbol
_atom_site_fract_x
_atom_site_fract_y
_atom_site_fract_z
Ho1 Ho 0.5000 0.5000 0.5000
Dy1 Dy 0.2500 0.2500 0.2500
Y1 Y 0.7500 0.7500 0.7500
Cd1 Cd 0.0000 0.0000 0.0000
```

E ... -4.1602 eV per atom
Formation enthalpy at 0 K ... -0.02 eV/atom

=====

(11)
DFT (PBE-GGA) results for crystalline DyHoZrCd at its relaxed geometry.

```
data_DyHoZrCd
_cell_length_a 5.3028
_cell_length_b 5.3028
_cell_length_c 5.3028
_cell_angle_alpha 60.00
_cell_angle_beta 60.00
_cell_angle_gamma 60.00
_symmetry_space_group_name_H-M 'P 1'
_symmetry_Int_Tables_number 1
loop_
_symmetry_equiv_pos_as_xyz
'x,y,z'
loop_
_atom_site_label
_atom_site_type_symbol
_atom_site_fract_x
_atom_site_fract_y
_atom_site_fract_z
Zr1 Zr 0.2500 0.2500 0.2500
Cd1 Cd 0.7500 0.7500 0.7500
Ho1 Ho 0.5000 0.5000 0.5000
Dy1 Dy 0.0000 0.0000 0.0000
```

E ... -4.6135 eV per atom
Formation enthalpy at 0 K ... 0.05 eV/atom

=====

(12)
DFT (PBE-GGA) results for crystalline DyCd2I6 at its relaxed geometry.

```
data_DyCd2I6
_cell_length_a 7.8758
_cell_length_b 10.1659
_cell_length_c 10.1659
_cell_angle_alpha 82.97
_cell_angle_beta 83.34
_cell_angle_gamma 83.34
_symmetry_space_group_name_H-M 'P 1'
_symmetry_Int_Tables_number 1
loop_
_symmetry_equiv_pos_as_xyz
'x,y,z'
loop_
_atom_site_label
_atom_site_type_symbol
_atom_site_fract_x
_atom_site_fract_y
_atom_site_fract_z
I1 I 0.1584 0.4638 0.2822
I2 I 0.3895 0.0330 0.1949
Cd1 Cd 0.3272 0.2265 0.4125
Cd2 Cd 0.1728 0.5875 0.7735
I3 I 0.6584 0.2822 0.4638
I4 I 0.6164 0.6471 0.1183
I5 I 0.8836 0.8817 0.3529
I6 I 0.1105 0.8051 0.9670
I7 I 0.8416 0.5362 0.7178
Dy1 Dy 0.7500 0.9126 0.0874
Dy2 Dy 0.2500 0.0874 0.9126
I8 I 0.3416 0.7178 0.5362
I9 I 0.8895 0.1949 0.0330
I10 I 0.1164 0.1183 0.6471
Cd3 Cd 0.8272 0.4125 0.2265
I11 I 0.3836 0.3529 0.8817
Cd4 Cd 0.6728 0.7735 0.5875
I12 I 0.6105 0.9670 0.8051
```

E ... -2.5147 eV per atom
E_form (uncorrected) ... -0.77 eV/atom

=====

> E of number 8 (DyHoTlCd)?

-3.4486 eV per atom

=====

> E of number 3 (DyHoCdSi)?

-4.2604 eV per atom

=====

> The lowest E belongs to which entry?

Dy2HoCdRh4

=====

> Which of these has the highest E?

DyCd2I6